Sc2AlSb | the Alexandria database | GGA-PBE | optimized geometry; space group = P4/mmm, No. 123; spin magnetization = 0.0 μB per formula unit; formation energy without anion corrections = -0.45 eV per atom
1.0
3.248 0.008 0.000
-0.009 3.248 0.000
0.000 0.000 8.198
Sb Sc Al
1 2 1
Cartesian
1.620 1.628 6.148
0.000 0.000 3.993
0.000 0.000 0.106
1.620 1.628 2.049